## a
DFT (PBE-GGA) results for a relaxed Er2TmMg crystal.

```
Er2TmMg
1.0
3.5246 0.0000 0.0000
0.0000 3.5246 0.0000
0.0000 0.0000 9.2611
Er Tm Mg
2 1 1
Cartesian
0.0000 0.0000 2.2229
0.0000 0.0000 7.0383
1.7623 1.7623 4.6306
1.7623 1.7623 0.0000
```

## b
DFT (PBE-GGA) results for a relaxed Er2TmMg crystal.

```
Er2TmMg
1.0
4.8647 0.0000 0.0000
0.0000 4.8647 0.0000
0.0000 0.0000 4.8474
Er Tm Mg
2 1 1
Cartesian
0.0000 2.4324 0.0000
2.4324 0.0000 0.0000
0.0000 0.0000 2.4237
2.4324 2.4324 2.4237
```

Least stable = b

## a
DFT (PBE-GGA) results for a relaxed Er2TmMg2 crystal.

```
Er2TmMg2
1.0
2.4533 -11.5093 0.0000
2.4533 11.5093 0.0000
0.0000 0.0000 4.8855
Er Tm Mg
4 2 4
Cartesian
2.4533 10.3249 3.6641
2.4533 1.2756 3.6641
2.4533 -1.2756 1.2214
2.4533 -10.3249 1.2214
2.4533 7.8369 1.2214
2.4533 -7.8369 3.6641
2.4533 5.7460 3.6641
2.4533 3.7392 1.2214
2.4533 -3.7392 3.6641
2.4533 -5.7460 1.2214
```

## b
DFT (PBE-GGA) results for a relaxed Er2TmMg2 crystal.

```
Er2TmMg2
1.0
3.6811 0.0000 0.0000
0.0000 5.3809 0.0000
-1.8390 0.0000 13.8247
Er Tm Mg
4 2 4
Cartesian
0.0001 1.3452 1.2090
-0.0004 1.3452 6.5607
1.8425 4.0356 7.2640
1.8421 4.0356 12.6157
-0.0007 4.0356 4.2236
1.8428 1.3452 9.6011
0.0033 4.0356 9.9565
0.0021 1.3452 12.3154
1.8401 4.0356 1.5092
1.8388 1.3452 3.8682
```

Least stable = a

## a
DFT (PBE-GGA) results for a relaxed Er6TmMg crystal.

```
Er6TmMg
1.0
4.9087 0.0000 0.0000
0.0000 4.9087 0.0000
0.0000 0.0000 9.8401
Er Tm Mg
6 1 1
Cartesian
0.0000 0.0000 0.0000
0.0000 0.0000 4.9200
0.0000 2.4544 2.4522
0.0000 2.4544 7.3878
2.4544 0.0000 2.4522
2.4544 0.0000 7.3878
2.4544 2.4544 4.9200
2.4544 2.4544 0.0000
```

## b
DFT (PBE-GGA) results for a relaxed Er6TmMg crystal.

```
Er6TmMg
1.0
4.6482 2.6837 3.2477
-4.6482 2.6837 3.2477
0.0000 -5.3673 3.2477
Er Tm Mg
6 1 1
Cartesian
-3.2931 -0.5213 4.2124
-1.1951 -3.1126 5.5305
2.0980 -2.5913 4.2124
-2.0981 2.5913 5.5305
1.1951 3.1126 4.2124
3.2931 0.5213 5.5305
0.0000 0.0000 4.8715
0.0000 0.0000 0.0000
```

Least stable = b

## a
DFT (PBE-GGA) results for a relaxed Er6Tm8Mg crystal.

```
Er6Tm8Mg
1.0
4.4393 2.5630 6.6795
-4.4393 2.5630 6.6795
0.0000 -5.1261 6.6795
Er Tm Mg
6 8 1
Cartesian
-2.5245 -1.9890 9.2294
-2.9848 1.1918 10.8092
0.4603 -3.1808 10.8092
-0.4603 3.1808 9.2294
2.9848 -1.1918 9.2294
2.5245 1.9890 10.8092
0.0000 0.0000 1.5185
-1.7292 0.8830 7.1312
0.0999 -1.9390 7.1312
-1.6293 -1.0561 12.9074
1.6293 1.0560 7.1311
-0.0999 1.9390 12.9074
1.7292 -0.8830 12.9074
0.0000 0.0000 18.5200
0.0000 0.0000 10.0193
```

## b
DFT (PBE-GGA) results for a relaxed Er6Tm8Mg crystal.

```
Er6Tm8Mg
1.0
9.1559 0.0000 0.0000
-4.5780 7.9293 0.0000
0.0000 0.0000 6.5399
Er Tm Mg
6 8 1
Cartesian
-1.0440 3.2550 0.6443
-1.2371 7.2059 0.6443
2.2969 2.5316 5.8956
2.2811 5.3976 0.6443
5.8150 0.7234 5.8956
5.6219 4.6743 5.8956
-2.9661 5.4341 2.5890
1.3549 2.6435 2.5890
2.9668 0.1483 3.9509
0.0000 5.2862 4.4076
4.5780 2.6431 2.1323
1.6112 7.7809 2.5890
3.2230 5.2858 3.9509
7.5441 2.4951 3.9509
0.0000 0.0000 0.0000
```

Least stable = b

## a
DFT (PBE-GGA) results for a relaxed Er3TmMg crystal.

```
Er3TmMg
1.0
7.3298 -1.7530 0.0000
7.3298 1.7530 0.0000
-2.0855 0.0000 11.3278
Er Tm Mg
6 2 2
Cartesian
1.2280 0.0000 5.1172
2.0774 0.0000 8.4710
5.0380 0.0000 0.4688
7.5361 0.0000 10.8590
10.4966 0.0000 2.8568
11.3461 0.0000 6.2106
0.3725 0.0000 1.7599
12.2016 0.0000 9.5679
5.8682 0.0000 4.0004
6.7058 0.0000 7.3274
```

## b
DFT (PBE-GGA) results for a relaxed Er3TmMg crystal.

```
Er3TmMg
1.0
3.5442 0.0000 0.0000
0.0000 11.0232 0.0000
-1.7681 0.0000 8.0602
Er Tm Mg
6 2 2
Cartesian
0.0033 0.0693 2.4729
0.0033 5.4423 2.4729
0.0058 2.7558 4.8472
1.7703 8.2674 3.2130
1.7728 5.5809 5.5873
1.7728 10.9539 5.5873
-0.0092 8.2674 0.3028
1.7853 2.7558 7.7574
-0.0019 8.2674 5.7670
1.7780 2.7558 2.2932
```

Least stable = b